# 1
An optimized crystal structure of Pr2CdIrO6. Source: the Alexandria database, functional GGA-PBE.

Unit cell a=5.6087 b=6.0695 c=9.8338 alpha=90.00 beta=124.46 gamma=90.00
Space group P2_1/c (No. 14)
Asymmetric unit:
Pr: 0.2266 0.0718 0.2510 (multiplicity 4)
Cd: 0.5000 0.0000 0.0000 (multiplicity 2)
Ir: 0.0000 0.0000 0.5000 (multiplicity 2)
O: 0.0980 0.2116 0.9315 (multiplicity 4)
O: 0.2427 0.6792 0.9440 (multiplicity 4)
O: 0.3562 0.0511 0.7320 (multiplicity 4)

Properties
Total DFT energy (no corrections) (eV for the cell shown): -139.6

***

# 2
An optimized crystal structure of SiGeN2. Source: the Alexandria database, functional GGA-PBE.

Unit cell a=7.6574 b=5.9460 c=5.1509 alpha=90.00 beta=106.03 gamma=90.00
Space group P2_1/c (No. 14)
Asymmetric unit:
Si: 0.1113 0.1386 0.1409 (multiplicity 4)
Ge: 0.2981 0.6180 0.2159 (multiplicity 4)
N: 0.1347 0.6204 0.4808 (multiplicity 4)
N: 0.1866 0.1402 0.4865 (multiplicity 4)

Properties
Energy relative to the lowest polymorph listed for this composition (eV per atom): 0.000
Total DFT energy (no corrections) (eV for the cell shown): -114.4

***

Question: total DFT energy (no corrections) of number 1 (Pr2CdIrO6)?
Answer: -139.6 eV for the cell shown

***

What did the first record say?
An optimized crystal structure of Pr2CdIrO6. Source: the Alexandria database, functional GGA-PBE.

Unit cell a=5.6087 b=6.0695 c=9.8338 alpha=90.00 beta=124.46 gamma=90.00
Space group P2_1/c (No. 14)
Asymmetric unit:
Pr: 0.2266 0.0718 0.2510 (multiplicity 4)
Cd: 0.5000 0.0000 0.0000 (multiplicity 2)
Ir: 0.0000 0.0000 0.5000 (multiplicity 2)
O: 0.0980 0.2116 0.9315 (multiplicity 4)
O: 0.2427 0.6792 0.9440 (multiplicity 4)
O: 0.3562 0.0511 0.7320 (multiplicity 4)

Properties
Total DFT energy (no corrections) (eV for the cell shown): -139.6

***

Question: Which of these has the lowest total DFT energy (no corrections)?
Answer: Pr2CdIrO6